VASP calculation (PBE) on Nd4Sm3DyS8 after structural relaxation.

V = 23.11 A^3/atom
uncorrected formation energy = -2.02 eV/atom

Cell lengths 8.0411, 8.0411, 19.8076 Å; angles 90.00, 90.00, 120.00 degrees
Space group R-3m (No. 166, hexagonal axes)
Asymmetric unit:
Nd 0.0000 0.0000 0.0000
Nd 0.0000 0.5000 0.0000
Sm 0.0000 0.5000 0.5000
Dy 0.0000 0.0000 0.5000
S 0.0000 0.0000 0.2480
S 0.0051 0.5025 0.2468